# PBE TmPRh3, optimized geometry
data_TmPRh3
_symmetry_space_group_name_H-M 'P 1'
_symmetry_Int_Tables_number 1
_symmetry_space_group_name_Hall 'P 1'
_cell_length_a 6.0895
_cell_length_b 6.0895
_cell_length_c 9.1368
_cell_angle_alpha 90.00
_cell_angle_beta 90.00
_cell_angle_gamma 91.34
loop_
_atom_site_label
_atom_site_type_symbol
_atom_site_fract_x
_atom_site_fract_y
_atom_site_fract_z
Tm1 Tm 0.0008 0.9992 0.7500
Tm2 Tm 0.4257 0.5743 0.2500
Tm3 Tm 0.5743 0.4257 0.7500
Tm4 Tm 0.9992 0.0008 0.2500
P1 P 0.0000 0.5000 0.0000
P2 P 0.0000 0.5000 0.5000
P3 P 0.5000 0.0000 0.0000
P4 P 0.5000 0.0000 0.5000
Rh1 Rh 0.0984 0.5232 0.7500
Rh2 Rh 0.1761 0.8239 0.5022
Rh3 Rh 0.1761 0.8239 0.9978
Rh4 Rh 0.3234 0.3234 0.0000
Rh5 Rh 0.3234 0.3234 0.5000
Rh6 Rh 0.4768 0.9016 0.7500
Rh7 Rh 0.5232 0.0984 0.2500
Rh8 Rh 0.6766 0.6766 0.0000
Rh9 Rh 0.6766 0.6766 0.5000
Rh10 Rh 0.8239 0.1761 0.0022
Rh11 Rh 0.8239 0.1761 0.4978
Rh12 Rh 0.9016 0.4768 0.2500
# Excess energy over the best structure of this formula in the dataset = 0.00 eV per formula unit
# V = 16.9 Å³ per atom
# Total DFT energy (no corrections) = -7.156 eV/atom
# Space group = Cmcm
# DFT formation energy = -769 meV/atom
# Crystal system = orthorhombic
# Density of states at the Fermi level = 0.4357 states/eV/atom